La6Ni2Br3Cl, relaxed, DFT GGA-PBE; ΔE_f (raw) = -1.08 eV/atom; SG = C2/m (12)
1.0
3.662 -6.332 0.000
3.662 6.332 0.000
-2.431 0.000 7.510
La Ni Br Cl
6 2 3 1
direct
0.073 0.431 0.794 La
0.210 0.210 0.202 La
0.431 0.073 0.794 La
0.569 0.927 0.206 La
0.790 0.790 0.798 La
0.927 0.569 0.206 La
0.167 0.833 0.000 Ni
0.833 0.167 0.000 Ni
0.000 0.000 0.500 Br
0.342 0.658 0.500 Br
0.658 0.342 0.500 Br
0.500 0.500 0.000 Cl